[1]
A plane-wave DFT calculation with PBE was carried out for a relaxed structure of Ce2PrTmS4.

Cell lengths 6.9487, 3.9840, 6.9490 Å; angles 90.00, 109.21, 90.00 degrees
Last column: nearest neighbours and their distance in Å.
Space group P2/m (No. 10)
Symmetry-distinct sites (fractional):
Ce (0.0000, 0.0000, 0.0000) x1  6 S 2.91
Ce (0.5000, 0.5000, 0.0000) x1  6 S 2.81
Pr (0.0000, 0.5000, 0.5000) x1  6 S 2.86
Tm (0.5000, 0.0000, 0.5000) x1  6 S 2.76
S (0.2609, 0.0000, 0.7476) x2  1 Tm 2.76, 3 Ce 2.81-2.91, 2 Pr 2.86
S (0.2649, 0.5000, 0.2608) x2  2 Tm 2.76, 3 Ce 2.81-2.91, 1 Pr 2.86

Results
Formation energy from raw total energies   -16.0 eV per formula unit

[2]
A plane-wave DFT calculation with PBE was carried out for a relaxed structure of NdBeCu4.

Cell lengths 7.1237, 7.1237, 7.1237 Å; angles 90.00, 90.00, 90.00 degrees
Last column: nearest neighbours and their distance in Å.
Space group F-43m (No. 216)
Symmetry-distinct sites (fractional):
Nd (0.0000, 0.0000, 0.0000) x4  12 Cu 2.96, 4 Be 3.08
Be (0.2500, 0.2500, 0.2500) x4  12 Cu 2.95, 4 Nd 3.08
Cu (0.1230, 0.1230, 0.6230) x16  6 Cu 2.48-2.56

Results
Excess energy over the best structure of this formula in the dataset   115 meV per atom
Formation enthalpy at 0 K   -5 meV per atom

[3]
A plane-wave DFT calculation with PBE was carried out for a relaxed structure of Tb8Ho5Pu.

Cell lengths 9.9392, 9.9392, 9.1103 Å; angles 90.00, 90.00, 90.00 degrees
Last column: nearest neighbours and their distance in Å.
Space group I-4 (No. 82)
Symmetry-distinct sites (fractional):
Tb (0.0339, 0.1609, 0.3092) x8  1 Pu 3.26, 3 Tb 3.27-3.53, 2 Ho 3.40-3.43
Tb (0.1522, 0.2540, 0.9588) x8  1 Pu 2.97, 3 Ho 3.22-3.29
Ho (0.0000, 0.5000, 0.2500) x2  4 Tb 3.43, 4 Ho 3.81
Ho (0.0763, 0.3416, 0.6222) x8  5 Tb 3.22-3.59, 3 Ho 3.40-3.50
Pu (0.0000, 0.0000, 0.0000) x2  8 Tb 2.97-3.26

Results
Formation enthalpy at 0 K   284 meV per atom

[4]
A plane-wave DFT calculation with PBE was carried out for a relaxed structure of PaTe4Rh.

Cell lengths 7.3047, 7.0212, 6.9073 Å; angles 90.00, 98.32, 90.00 degrees
Last column: nearest neighbours and their distance in Å.
Space group P2_1/c (No. 14)
Symmetry-distinct sites (fractional):
Pa (0.0000, 0.0000, 0.0000) x2  4 Te 2.92-3.01
Te (0.1928, 0.1678, 0.3762) x4  1 Rh 2.57
Te (0.3187, 0.7126, 0.2608) x4  2 Rh 2.81
Rh (0.5000, 0.0000, 0.5000) x2  6 Te 2.57-2.81

Results
Formation energy from raw total energies   -2.7 eV per formula unit

[5]
A plane-wave DFT calculation with PBE was carried out for a relaxed structure of GdHfCuRu.

Cell lengths 6.7096, 6.7096, 6.7096 Å; angles 90.00, 90.00, 90.00 degrees
Last column: nearest neighbours and their distance in Å.
Space group F-43m (No. 216)
Symmetry-distinct sites (fractional):
Gd (0.0000, 0.0000, 0.0000) x4  4 Ru 2.91, 4 Cu 2.91
Hf (0.0000, 0.0000, 0.5000) x4  4 Ru 2.91, 4 Cu 2.91
Cu (0.2500, 0.2500, 0.2500) x4  4 Hf 2.91, 4 Gd 2.91
Ru (0.2500, 0.2500, 0.7500) x4  4 Hf 2.91, 4 Gd 2.91

Results
Formation enthalpy at 0 K   -267 meV per atom

[6]
A plane-wave DFT calculation with PBE was carried out for a relaxed structure of K2YZn2O4.

Cell lengths 14.3599, 3.3778, 6.6250 Å; angles 90.00, 105.37, 90.00 degrees
Last column: nearest neighbours and their distance in Å.
Space group C2/m (No. 12)
Symmetry-distinct sites (fractional):
K (0.1264, 0.0000, 0.0661) x4  3 O 2.62-2.80
Y (0.0000, 0.0000, 0.5000) x2  6 O 2.30-2.36
Zn (0.1823, 0.5000, 0.5444) x4  3 O 2.03-2.07
O (0.0508, 0.5000, 0.3196) x4  1 Zn 2.07, 2 Y 2.30
O (0.1632, 0.0000, 0.6988) x4  2 Zn 2.03

Results
Formation energy from raw total energies   -15.8 eV per formula unit

[7]
A plane-wave DFT calculation with PBE was carried out for a relaxed structure of PrSiRu.

Cell lengths 4.1262, 4.1262, 4.3579 Å; angles 90.00, 90.00, 120.00 degrees
Last column: nearest neighbours and their distance in Å.
Space group P-6m2 (No. 187)
Symmetry-distinct sites (fractional):
Pr (0.0000, 0.0000, 0.0000) x1  6 Si 3.23, 6 Ru 3.23
Si (0.3333, 0.6667, 0.5000) x1  3 Ru 2.38
Ru (0.6667, 0.3333, 0.5000) x1  3 Si 2.38

Results
Formation energy from raw total energies   -1.7 eV per formula unit

[8]
A plane-wave DFT calculation with PBE was carried out for a relaxed structure of Tl2ZnIr.

Cell lengths 6.8517, 6.8517, 6.8517 Å; angles 90.00, 90.00, 90.00 degrees
Last column: nearest neighbours and their distance in Å.
Space group Fm-3m (No. 225)
Symmetry-distinct sites (fractional):
Tl (0.2500, 0.2500, 0.2500) x8  4 Ir 2.97, 4 Zn 2.97
Zn (0.0000, 0.0000, 0.0000) x4  8 Tl 2.97
Ir (0.0000, 0.0000, 0.5000) x4  8 Tl 2.97

Results
Excess energy over the best structure of this formula in the dataset   381 meV per atom
Formation enthalpy at 0 K   500 meV per atom

[9]
A plane-wave DFT calculation with PBE was carried out for a relaxed structure of Dy2SbPRh6.

Cell lengths 10.4797, 6.0391, 7.3041 Å; angles 90.00, 118.74, 90.00 degrees
Last column: nearest neighbours and their distance in Å.
Space group C2/m (No. 12)
Symmetry-distinct sites (fractional):
Dy (0.2385, 0.0000, 0.2149) x4  9 Rh 2.95-3.04
Sb (0.0000, 0.0000, 0.5000) x2  6 Rh 2.61
P (0.0000, 0.5000, 0.0000) x2  6 Rh 2.21
Rh (0.0323, 0.2267, 0.8245) x8  1 P 2.21
Rh (0.2408, 0.5000, 0.1741) x4  1 P 2.21

Results
Formation energy from raw total energies   -6.3 eV per formula unit

[10]
A plane-wave DFT calculation with PBE was carried out for a relaxed structure of NaZrCrIr2.

Cell lengths 4.8182, 4.8182, 4.9749 Å; angles 90.00, 90.00, 90.00 degrees
Last column: nearest neighbours and their distance in Å.
Space group P4/mmm (No. 123)
Symmetry-distinct sites (fractional):
Na (0.0000, 0.0000, 0.0000) x1  2 Zr 2.49
Zr (0.0000, 0.0000, 0.5000) x1  4 Ir 2.41, 2 Na 2.49
Cr (0.5000, 0.5000, 0.0000) x1  4 Na 3.41, 8 Ir 3.46
Ir (0.0000, 0.5000, 0.5000) x2  2 Zr 2.41

Results
Formation enthalpy at 0 K   1857 meV per atom

[11]
A plane-wave DFT calculation with PBE was carried out for a relaxed structure of Rb2SbRh.

Cell lengths 12.9763, 12.9763, 4.9947 Å; angles 90.00, 90.00, 90.00 degrees
Last column: nearest neighbours and their distance in Å.
Space group I-42d (No. 122)
Symmetry-distinct sites (fractional):
Rb (0.0436, 0.7500, 0.1250) x8  2 Rh 3.35
Sb (0.0000, 0.0000, 0.5000) x4  2 Rh 2.50
Rh (0.0000, 0.0000, 0.0000) x4  2 Sb 2.50

Results
Formation energy from raw total energies   -0.2 eV per formula unit

[12]
A plane-wave DFT calculation with PBE was carried out for a relaxed structure of InAgBr2.

Cell lengths 7.5502, 7.5502, 7.5502 Å; angles 90.00, 90.00, 90.00 degrees
Last column: nearest neighbours and their distance in Å.
Space group F-43m (No. 216)
Symmetry-distinct sites (fractional):
In (0.0000, 0.0000, 0.0000) x4  4 Br 3.27, 4 Ag 3.27
Ag (0.2500, 0.2500, 0.7500) x4  4 In 3.27, 4 Br 3.27
Br (0.0000, 0.0000, 0.5000) x4  4 Ag 3.27, 4 Br 3.27
Br (0.2500, 0.2500, 0.2500) x4  4 Br 3.27, 4 In 3.27

Results
Excess energy over the best structure of this formula in the dataset   399 meV per atom
Formation energy from raw total energies   -0.3 eV per formula unit

| no. | uncorrected energy (eV per formula unit) |
| --- | --- |
| 1 | -53.7 |
| 2 | -24.9 |
| 3 | -70.3 |
| 4 | -32.1 |
| 5 | -38.5 |
| 6 | -46.8 |
| 7 | -21.2 |
| 8 | -12.9 |
| 9 | -69.2 |
| 10 | -27.9 |
| 11 | -13.6 |
| 12 | -9.2 |